[1]
Compound: DyHg2Pd8
Source: the Alexandria database
Functional: PBE-GGA
Structure: optimized geometry

Calculated values
* density: 12.442 Mg/m³
* SG: C2/m (12)
* crystal system: monoclinic
* magnetic moment: 0.00 μB per formula unit
* energy of formation from the pure elements: -0.388 eV per atom

Lattice parameters (Å, degrees): 4.1681 6.4220 7.6027 104.62 105.91 90.00
Last column: nearest neighbours and their distance in Å.
Sites, in units of the cell vectors:
Pd (0.9581, 0.2786, 0.9162)  9 Pd 2.79-2.94, 1 Hg 2.83, 2 Dy 2.91
Pd (0.3194, 0.0889, 0.6388)  3 Hg 2.81-2.86, 1 Dy 2.84, 8 Pd 2.86-2.94
Pd (0.8632, 0.8181, 0.7265)  7 Pd 2.84-2.93, 2 Dy 2.91, 3 Hg 2.91-2.93
Pd (0.4098, 0.5408, 0.8196)  8 Pd 2.82-2.93, 1 Dy 2.90, 3 Hg 2.90-2.97
Pd (0.0419, 0.7214, 0.0838)  9 Pd 2.79-2.94, 1 Hg 2.83, 2 Dy 2.91
Pd (0.1368, 0.1819, 0.2735)  7 Pd 2.84-2.93, 2 Dy 2.91, 3 Hg 2.91-2.93
Pd (0.6806, 0.9111, 0.3612)  3 Hg 2.81-2.86, 1 Dy 2.84, 8 Pd 2.86-2.94
Pd (0.5902, 0.4592, 0.1804)  8 Pd 2.82-2.93, 1 Dy 2.90, 3 Hg 2.90-2.97
Hg (0.7754, 0.3519, 0.5509)  10 Pd 2.81-2.97, 2 Hg 3.04
Hg (0.2246, 0.6481, 0.4491)  10 Pd 2.81-2.97, 2 Hg 3.04
Dy (0.5000, 0.0000, 0.0000)  12 Pd 2.84-2.91

=====

[2]
Compound: TeP2Au
Source: the Alexandria database
Functional: PBE-GGA
Structure: optimized geometry

Calculated values
* density: 6.656 Mg/m³
* SG: Pm (6)
* crystal system: monoclinic
* magnetic moment: 0.00 μB per formula unit
* uncorrected formation energy: 135 meV per atom

Lattice parameters (Å, degrees): 3.2793 4.3149 8.4346 53.89 90.00 90.00
Last column: nearest neighbours and their distance in Å.
Sites, in units of the cell vectors:
P (0.5000, 0.3926, 0.0852)  2 P 2.22, 1 Au 2.39
P (0.0000, 0.9921, 0.1424)  2 P 2.22
Au (0.5000, 0.6379, 0.7462)  1 P 2.39
Te (0.0000, 0.4774, 0.5262)  1 P 2.63, 2 Au 2.85

=====

[3]
Compound: PmPr5Ho3
Source: the Alexandria database
Functional: PBE-GGA
Structure: optimized geometry

Calculated values
* density: 7.027 Mg/m³
* SG: I4/mcm (140)
* crystal system: tetragonal
* magnetic moment: 0.00 μB per formula unit
* energy of formation from the pure elements: 0.284 eV per atom

Lattice parameters (Å, degrees): 8.1123 8.1123 11.2297 111.17 111.17 90.00
Last column: nearest neighbours and their distance in Å.
Sites, in units of the cell vectors:
Ho (0.3717, 0.8717, 0.0000)  1 Ho 2.94, 4 Pr 3.19-3.21
Ho (0.7500, 0.7500, 0.5000)  8 Pr 3.69, 4 Pm 4.06
Ho (0.8717, 0.6283, 0.0000)  1 Ho 2.94, 4 Pr 3.19-3.21
Ho (0.2500, 0.2500, 0.5000)  8 Pr 3.69, 4 Pm 4.06
Ho (0.1283, 0.3717, 0.0000)  1 Ho 2.94, 4 Pr 3.19-3.21
Ho (0.6283, 0.1283, 0.0000)  1 Ho 2.94, 4 Pr 3.19-3.21
Pr (0.5712, 0.6623, 0.7335)  1 Ho 3.21, 1 Pm 3.25
Pr (0.6623, 0.1623, 0.7335)  1 Ho 3.21, 1 Pm 3.25
Pr (0.9288, 0.4288, 0.2665)  1 Ho 3.21, 1 Pm 3.25
Pr (0.8377, 0.9288, 0.2665)  1 Ho 3.21, 1 Pm 3.25
Pr (0.3377, 0.8377, 0.2665)  1 Ho 3.21, 1 Pm 3.25
Pr (0.0000, 0.0000, 0.0000)  4 Ho 3.19
Pr (0.1623, 0.0712, 0.7335)  1 Ho 3.21, 1 Pm 3.25
Pr (0.5000, 0.5000, 0.0000)  4 Ho 3.19
Pr (0.4288, 0.3377, 0.2665)  1 Ho 3.21, 1 Pm 3.25
Pr (0.0712, 0.5712, 0.7335)  1 Ho 3.21, 1 Pm 3.25
Pm (0.2500, 0.7500, 0.5000)  4 Pr 3.25
Pm (0.7500, 0.2500, 0.5000)  4 Pr 3.25

=====

[4]
Compound: ReNi2Hg2
Source: the Alexandria database
Functional: PBE-GGA
Structure: optimized geometry

Calculated values
* density: 13.831 Mg/m³
* SG: I4/mmm (139)
* crystal system: tetragonal
* magnetic moment: 2.51 μB per formula unit
* energy of formation from the pure elements: 0.902 eV per atom

Lattice parameters (Å, degrees): 3.1960 3.1960 8.5864 79.27 79.27 90.00
Last column: nearest neighbours and their distance in Å.
Sites, in units of the cell vectors:
Re (0.0000, 0.0000, 0.0000)  8 Hg 2.95, 4 Re 3.20
Hg (0.3856, 0.3856, 0.2287)  4 Ni 2.76, 4 Re 2.95
Hg (0.6143, 0.6143, 0.7713)  4 Ni 2.76, 4 Re 2.95
Ni (0.7500, 0.2500, 0.5000)  4 Ni 2.26
Ni (0.2500, 0.7500, 0.5000)  4 Ni 2.26

=====

[5]
Compound: ZrGeN2O
Source: the Alexandria database
Functional: PBE-GGA
Structure: optimized geometry

Calculated values
* density: 4.532 Mg/m³
* SG: P4/mmm (123)
* crystal system: tetragonal
* magnetic moment: 1.96 μB per formula unit
* uncorrected formation energy: -79 meV per atom

Lattice parameters (Å, degrees): 4.2983 4.2983 4.1223 90.00 90.00 90.00
Last column: nearest neighbours and their distance in Å.
Sites, in units of the cell vectors:
Ge (0.5000, 0.5000, 0.5000)  8 N 2.98, 4 O 3.04
N (0.0000, 0.5000, 0.0000)  2 Zr 2.15
N (0.5000, 0.0000, 0.0000)  2 Zr 2.15
Zr (0.0000, 0.0000, 0.0000)  2 O 2.06, 4 N 2.15
O (0.0000, 0.0000, 0.5000)  2 Zr 2.06

=====

[6]
Compound: Cs3TaTl2S6
Source: the Alexandria database
Functional: PBE-GGA
Structure: optimized geometry

Calculated values
* density: 5.554 Mg/m³
* SG: C2/m (12)
* crystal system: monoclinic
* magnetic moment: 0.00 μB per formula unit
* uncorrected formation energy: -806 meV per atom

Lattice parameters (Å, degrees): 7.2222 7.2222 8.1605 98.28 98.28 119.99
Last column: nearest neighbours and their distance in Å.
Sites, in units of the cell vectors:
S (0.7794, 0.7794, 0.1853)  1 Ta 2.49
S (0.0602, 0.3446, 0.1776)  1 Ta 2.49
S (0.9398, 0.6554, 0.8224)  1 Ta 2.49
S (0.6554, 0.9398, 0.8224)  1 Ta 2.49
S (0.2206, 0.2206, 0.8147)  1 Ta 2.49
S (0.3446, 0.0602, 0.1776)  1 Ta 2.49
Tl (0.3352, 0.6648, 0.0000)  6 S 2.93-2.98
Tl (0.6648, 0.3352, 0.0000)  6 S 2.93-2.98
Cs (0.1789, 0.8211, 0.5000)  6 S 3.39-3.65
Cs (0.8211, 0.1789, 0.5000)  6 S 3.39-3.65
Cs (0.5000, 0.5000, 0.5000)  6 S 3.38-3.70
Ta (0.0000, 0.0000, 0.0000)  6 S 2.49

=====

[7]
Compound: K2AsBrCl5
Source: the Alexandria database
Functional: PBE-GGA
Structure: optimized geometry

Calculated values
* density: 2.616 Mg/m³
* SG: I4mm (107)
* crystal system: tetragonal
* magnetic moment: 0.00 μB per formula unit
* uncorrected formation energy: -1151 meV per atom

Lattice parameters (Å, degrees): 7.1598 7.1598 7.1598 90.39 119.77 119.77
Last column: nearest neighbours and their distance in Å.
Sites, in units of the cell vectors:
Cl (0.0000, 0.2391, 0.7657)  1 As 2.40
Cl (0.0000, 0.2385, 0.2385)  1 As 2.39
Cl (0.5266, 0.7657, 0.7657)  1 As 2.40
Cl (0.4734, 0.2391, 0.2391)  1 As 2.40
Cl (0.0000, 0.7657, 0.2391)  1 As 2.40
K (0.5000, 0.7513, 0.2513)  10 Cl 3.57-3.59, 2 Br 3.59
K (0.5000, 0.2513, 0.7513)  10 Cl 3.57-3.59, 2 Br 3.59
Br (0.0000, 0.7473, 0.7473)  1 As 2.57
As (0.0000, 0.0021, 0.0021)  5 Cl 2.39-2.40, 1 Br 2.57

=====

[8]
Compound: ReMo2HPt
Source: the Alexandria database
Functional: PBE-GGA
Structure: optimized geometry

Calculated values
* raw total energy: -43.631 eV per cell
* density: 14.976 Mg/m³
* SG: P4/mmm (123)
* crystal system: tetragonal
* magnetic moment: 0.00 μB per formula unit

Lattice parameters (Å, degrees): 4.0143 4.0143 3.9507 90.00 90.00 90.00
Last column: nearest neighbours and their distance in Å.
Sites, in units of the cell vectors:
Re (0.5000, 0.5000, 0.5000)  8 Mo 2.82, 4 Pt 2.84
Mo (0.5000, 0.0000, 0.0000)  2 H 2.01
Mo (0.0000, 0.5000, 0.0000)  2 H 2.01
H (0.0000, 0.0000, 0.0000)  2 Pt 1.98, 4 Mo 2.01
Pt (0.0000, 0.0000, 0.5000)  2 H 1.98

=====

[9]
Compound: Sr4ReRh
Source: the Alexandria database
Functional: PBE-GGA
Structure: optimized geometry

Calculated values
* density: 5.697 Mg/m³
* SG: F-43m (216)
* crystal system: cubic
* magnetic moment: 2.33 μB per formula unit
* energy of formation from the pure elements: 1.512 eV per atom

Lattice parameters (Å, degrees): 6.4124 6.4124 6.4124 60.00 60.00 60.00
Last column: nearest neighbours and their distance in Å.
Sites, in units of the cell vectors:
Sr (0.3751, 0.3751, 0.8746)  6 Sr 3.20-3.21
Sr (0.3751, 0.8746, 0.3751)  6 Sr 3.20-3.21
Sr (0.8746, 0.3751, 0.3751)  6 Sr 3.20-3.21
Sr (0.3751, 0.3751, 0.3751)  6 Sr 3.20-3.21
Re (0.7500, 0.7500, 0.7500)  12 Sr 3.76, 4 Rh 3.93
Rh (0.0000, 0.0000, 0.0000)  12 Sr 3.76, 4 Re 3.93

=====

[10]
Compound: LaMoOs
Source: the Alexandria database
Functional: PBE-GGA
Structure: optimized geometry

Calculated values
* density: 10.526 Mg/m³
* SG: Imm2 (44)
* crystal system: orthorhombic
* magnetic moment: 0.00 μB per formula unit
* energy of formation from the pure elements: 0.346 eV per atom

Lattice parameters (Å, degrees): 6.0076 6.0076 6.0076 149.91 141.72 49.44
Last column: nearest neighbours and their distance in Å.
Sites, in units of the cell vectors:
Os (0.7252, 0.7252, 0.0000)  4 Mo 2.57
Mo (0.2728, 0.2728, 0.0000)  4 Os 2.57
La (0.0020, 0.0020, 0.0000)  1 Mo 2.96, 1 Os 3.02, 2 La 3.12

=====

[11]
Compound: BaZrP2
Source: the Alexandria database
Functional: PBE-GGA
Structure: optimized geometry

Calculated values
* density: 5.303 Mg/m³
* SG: P2/m (10)
* crystal system: monoclinic
* magnetic moment: 0.00 μB per formula unit
* energy of formation from the pure elements: -0.802 eV per atom

Lattice parameters (Å, degrees): 3.5757 3.5410 7.6009 70.94 90.00 90.00
Last column: nearest neighbours and their distance in Å.
Sites, in units of the cell vectors:
P (0.0000, 0.9606, 0.0598)  2 Zr 2.70, 1 P 2.79
P (0.0000, 0.5394, 0.4402)  2 Zr 2.70, 1 P 2.79
Zr (0.5000, 0.2500, 0.2500)  4 P 2.70
Ba (0.5000, 0.7500, 0.7500)  8 P 3.23-3.50, 4 Ba 3.54-3.58

=====

[12]
Compound: NpPb3Br2O6
Source: the Alexandria database
Functional: PBE-GGA
Structure: optimized geometry

Calculated values
* density: 7.471 Mg/m³
* SG: C2/m (12)
* crystal system: monoclinic
* magnetic moment: 0.00 μB per formula unit
* uncorrected formation energy: -1390 meV per atom

Lattice parameters (Å, degrees): 5.6734 6.7085 7.3877 117.00 82.35 90.00
Last column: nearest neighbours and their distance in Å.
Sites, in units of the cell vectors:
O (0.3248, 0.1410, 0.2819)  1 Np 1.97
O (0.3025, 0.7190, 0.8877)  1 Np 2.08
O (0.3025, 0.1687, 0.8877)  1 Np 2.08
O (0.6752, 0.8590, 0.7181)  1 Np 1.97
O (0.6975, 0.2810, 0.1123)  1 Np 2.08
O (0.6975, 0.8313, 0.1123)  1 Np 2.08
Br (0.9100, 0.2932, 0.5864)  3 Pb 2.84-2.99, 1 O 2.85
Br (0.0900, 0.7068, 0.4136)  3 Pb 2.84-2.99, 1 O 2.85
Pb (0.5000, 0.5000, 0.5000)  4 O 2.51-2.63
Pb (0.5000, 0.0000, 0.5000)  4 O 2.51-2.63
Pb (0.0000, 0.5000, 0.0000)  4 O 2.55, 2 Br 2.84
Np (0.5000, 0.0000, 0.0000)  6 O 1.97-2.08